CeDyMg2Hg4 | PBE | relaxed Values from VASP.

Quantum ESPRESSO input file:
```
&SYSTEM
  ibrav = 0, nat = 8, ntyp = 4
/
ATOMIC_SPECIES
Ce 140.12 Ce.upf
Dy 162.50 Dy.upf
Mg 24.30 Mg.upf
Hg 200.59 Hg.upf
CELL_PARAMETERS angstrom
2.561 1.479 8.413
-2.561 1.479 8.413
0.000 -2.957 8.413
ATOMIC_POSITIONS crystal
Ce 0.000 0.000 0.000
Dy 0.500 0.500 0.500
Mg 0.250 0.250 0.250
Mg 0.750 0.750 0.750
Hg 0.127 0.127 0.127
Hg 0.378 0.378 0.378
Hg 0.622 0.622 0.622
Hg 0.873 0.873 0.873
```

DOS at the Fermi energy = 1.045 states/eV/atom
E_form = -0.4211 eV per atom
mass density = 10.0 g/cm3